1.
## BiMoI2Br (GGA-PBE)

Data for a relaxed BiMoI2Br crystal.

Calculated values
D(E_F) = 2.8 states/eV/f.u.
Calculated total energy = -15.81 eV per formula unit
Space group = P4/mmm (123)

a b c (Å): 6.208 5.714 6.208
angles (deg): 90.00 90.00 90.00
Site moments in Bohr magnetons follow the coordinates.
Element x y z (fractional)
Mo (0.500, 0.500, 0.500)  4.16
I (0.000, 0.000, 0.500)  0.00
I (0.500, 0.000, 0.000)  0.01
Bi (0.000, 0.000, 0.000)  0.14
Br (0.000, 0.500, 0.000)  0.01



2.
## BiI2BrN (GGA-PBE)

Data for a relaxed BiI2BrN crystal.

Calculated values
D(E_F) = 5.3 states/eV/f.u.
Offset from the most stable computed form = 0 meV/atom
Calculated total energy = -13.01 eV per formula unit
Space group = P4/mmm (123)

a b c (Å): 6.203 6.203 4.718
angles (deg): 90.00 90.00 90.00
Site moments in Bohr magnetons follow the coordinates.
Element x y z (fractional)
N (0.000, 0.000, 0.500)  1.23
Bi (0.000, 0.000, 0.000)  -0.07
Br (0.500, 0.500, 0.500)  0.53
I (0.000, 0.500, 0.000)  0.20
I (0.500, 0.000, 0.000)  0.20



| no. | raw formation energy (eV/atom) |
| --- | --- |
| 1 | 0.735 |
| 2 | 0.794 |